# ZnInAg2 GGA-PBEsol optimized geometry
data_ZnInAg2
_cell_length_a 4.0648
_cell_length_b 4.0648
_cell_length_c 8.3072
_cell_angle_alpha 90.00
_cell_angle_beta 90.00
_cell_angle_gamma 90.00
_symmetry_space_group_name_H-M 'I -4 m 2'
_symmetry_Int_Tables_number 119
_symmetry_space_group_name_Hall 'I -4 -2'
loop_
_atom_site_label
_atom_site_type_symbol
_atom_site_fract_x
_atom_site_fract_y
_atom_site_fract_z
Zn1 Zn 0.0000 0.0000 0.0000
In1 In 0.0000 0.5000 0.7500
Ag1 Ag 0.0000 0.0000 0.5000
Ag2 Ag 0.0000 0.5000 0.2500
# Fermi-level density of states (states/eV/f.u.): 1.311
# Calculated total energy (eV per atom): -2.81

***

# Cs2BiIr GGA-PBEsol optimized geometry
data_Cs2BiIr
_cell_length_a 12.6076
_cell_length_b 12.6076
_cell_length_c 5.0736
_cell_angle_alpha 90.00
_cell_angle_beta 90.00
_cell_angle_gamma 90.00
_symmetry_space_group_name_H-M 'I -4 2 d'
_symmetry_Int_Tables_number 122
_symmetry_space_group_name_Hall 'I -4 2bw'
loop_
_atom_site_label
_atom_site_type_symbol
_atom_site_fract_x
_atom_site_fract_y
_atom_site_fract_z
Cs1 Cs 0.0941 0.7500 0.1250
Bi1 Bi 0.0000 0.0000 0.5000
Ir1 Ir 0.0000 0.0000 0.0000
# Fermi-level density of states (states/eV/f.u.): 1.488
# Calculated total energy (eV per atom): -3.72

***

# NiHgPS2 GGA-PBEsol optimized geometry
data_NiHgPS2
_cell_length_a 4.9139
_cell_length_b 4.9139
_cell_length_c 4.8315
_cell_angle_alpha 90.00
_cell_angle_beta 90.00
_cell_angle_gamma 90.00
_symmetry_space_group_name_H-M 'P 4/m m m'
_symmetry_Int_Tables_number 123
_symmetry_space_group_name_Hall '-P 4 2'
loop_
_atom_site_label
_atom_site_type_symbol
_atom_site_fract_x
_atom_site_fract_y
_atom_site_fract_z
Ni1 Ni 0.0000 0.0000 0.0000
Hg1 Hg 0.5000 0.5000 0.5000
P1 P 0.5000 0.5000 0.0000
S1 S 0.0000 0.5000 0.5000
# Energy relative to the elements, uncorrected (kJ per mole of atoms): 149.3
# Fermi-level density of states (states/eV/f.u.): 9.077

***

# BaFeRe2 GGA-PBEsol optimized geometry
data_BaFeRe2
_cell_length_a 3.0760
_cell_length_b 5.5574
_cell_length_c 9.5343
_cell_angle_alpha 90.00
_cell_angle_beta 90.00
_cell_angle_gamma 90.00
_symmetry_space_group_name_H-M 'I m m 2'
_symmetry_Int_Tables_number 44
loop_
_symmetry_equiv_pos_as_xyz
'x,y,z'
'-x,-y,z'
'-x,y,z'
'x,-y,z'
'x+1/2,y+1/2,z+1/2'
'-x+1/2,-y+1/2,z+1/2'
'-x+1/2,y+1/2,z+1/2'
'x+1/2,-y+1/2,z+1/2'
loop_
_atom_site_label
_atom_site_type_symbol
_atom_site_fract_x
_atom_site_fract_y
_atom_site_fract_z
Ba1 Ba 0.0000 0.0000 0.0000
Fe1 Fe 0.0000 0.5000 0.7940
Re1 Re 0.0000 0.0000 0.4989
Re2 Re 0.0000 0.5000 0.1945
# Fermi-level density of states (states/eV/f.u.): 4.426
# Calculated total energy (eV per atom): -8.12

***

# TiTeH3 GGA-PBEsol optimized geometry
data_TiTeH3
_cell_length_a 3.8945
_cell_length_b 3.8945
_cell_length_c 3.8945
_cell_angle_alpha 90.00
_cell_angle_beta 90.00
_cell_angle_gamma 90.00
_symmetry_space_group_name_H-M 'P m -3 m'
_symmetry_Int_Tables_number 221
_symmetry_space_group_name_Hall '-P 4 2 3'
loop_
_atom_site_label
_atom_site_type_symbol
_atom_site_fract_x
_atom_site_fract_y
_atom_site_fract_z
Ti1 Ti 0.0000 0.0000 0.0000
Te1 Te 0.5000 0.5000 0.5000
H1 H 0.0000 0.5000 0.5000
# Fermi-level density of states (states/eV/f.u.): 2.593
# Calculated total energy (eV per atom): -3.39

***

# PtSeBr2Cl GGA-PBEsol optimized geometry
data_PtSeBr2Cl
_cell_length_a 5.0967
_cell_length_b 5.0967
_cell_length_c 4.7564
_cell_angle_alpha 90.00
_cell_angle_beta 90.00
_cell_angle_gamma 90.00
_symmetry_space_group_name_H-M 'P 4/m m m'
_symmetry_Int_Tables_number 123
_symmetry_space_group_name_Hall '-P 4 2'
loop_
_atom_site_label
_atom_site_type_symbol
_atom_site_fract_x
_atom_site_fract_y
_atom_site_fract_z
Pt1 Pt 0.0000 0.0000 0.0000
Se1 Se 0.0000 0.0000 0.5000
Br1 Br 0.0000 0.5000 0.0000
Cl1 Cl 0.5000 0.5000 0.5000
# Energy relative to the elements, uncorrected (kJ per mole of atoms): 29.9
# Fermi-level density of states (states/eV/f.u.): 6.394